Density functional theory data (PBE-GGA) for a relaxed Ba2CuHPt crystal.

Cell and atoms, written as POSCAR:
```
Ba2CuHPt
1.0
-4.932 -1.181 2.588
-2.583 -0.307 -5.064
0.791 -3.696 -0.179
H Cu Ba Pt
1 1 2 1
Direct
0.000 0.000 0.000
0.500 0.500 0.500
0.000 0.500 0.000
0.500 0.000 0.000
0.000 0.000 0.500
```

Results
As for the raw total energy: -3.815 eV/atom. As for the space-group type: No. 123. The calculation puts the total magnetization at 0.00 Bohr magnetons per cell.